## LiSi5Mo3 (GGA-PBE)

Data for a relaxed LiSi5Mo3 crystal.

Cell: 5.3894 5.3894 6.3459 Å, 90.00 90.00 120.00°
Last column: nearest neighbours and their distance in Å.
Sites, in units of the cell vectors:
Li 0.0000 0.0000 0.0000  14 Si 3.17-3.32
Si 0.0000 0.0000 0.5000  6 Mo 2.69
Si 0.3333 0.6667 0.1819  1 Si 2.31, 3 Mo 2.55
Si 0.3333 0.6667 0.8181  1 Si 2.31, 3 Mo 2.55
Si 0.6667 0.3333 0.1819  1 Si 2.31, 3 Mo 2.55
Si 0.6667 0.3333 0.8181  1 Si 2.31, 3 Mo 2.55
Mo 0.0000 0.5000 0.5000  6 Si 2.55-2.69, 4 Mo 2.69
Mo 0.5000 0.0000 0.5000  6 Si 2.55-2.69, 4 Mo 2.69
Mo 0.5000 0.5000 0.5000  6 Si 2.55-2.69, 4 Mo 2.69

## Properties
DFT total energy: -60.8 eV per cell
Size of the total moment: 0.01 μB/f.u.


## YGaFeCu (GGA-PBE)

Data for a relaxed YGaFeCu crystal.

Cell: 4.5405 4.5405 4.5405 Å, 60.00 60.00 60.00°
Last column: nearest neighbours and their distance in Å.
Sites, in units of the cell vectors:
Y 0.0000 0.0000 0.0000  4 Fe 2.78, 4 Cu 2.78
Ga 0.5000 0.5000 0.5000  4 Cu 2.78, 4 Fe 2.78
Fe 0.2500 0.2500 0.2500  4 Ga 2.78, 4 Y 2.78
Cu 0.7500 0.7500 0.7500  4 Ga 2.78, 4 Y 2.78

## Properties
DFT total energy: -21.6 eV per cell
Size of the total moment: 2.12 μB/f.u.


## TlCd2Pt (GGA-PBE)

Data for a relaxed TlCd2Pt crystal.

Cell: 4.8943 4.8943 4.8943 Å, 60.00 60.00 60.00°
Last column: nearest neighbours and their distance in Å.
Sites, in units of the cell vectors:
Tl 0.0000 0.0000 0.0000  4 Cd 3.00, 4 Pt 3.00
Cd 0.2500 0.2500 0.2500  4 Cd 3.00, 4 Tl 3.00
Cd 0.5000 0.5000 0.5000  4 Pt 3.00, 4 Cd 3.00
Pt 0.7500 0.7500 0.7500  4 Cd 3.00, 4 Tl 3.00

## Properties
DFT total energy: -10.1 eV per cell
Size of the total moment: 0.00 μB/f.u.


## GdZn (GGA-PBE)

Data for a relaxed GdZn crystal.

Cell: 3.5833 3.5833 3.5833 Å, 90.00 90.00 90.00°
Last column: nearest neighbours and their distance in Å.
Sites, in units of the cell vectors:
Gd 0.0000 0.0000 0.0000  8 Zn 3.10
Zn 0.5000 0.5000 0.5000  8 Gd 3.10

## Properties
E_form: -0.338 eV per atom
Size of the total moment: 0.09 μB/f.u.


## K2Tb2S5 (GGA-PBE)

Data for a relaxed K2Tb2S5 crystal.

Cell: 7.4484 7.4484 10.5757 Å, 99.62 99.62 65.74°
Last column: nearest neighbours and their distance in Å.
Sites, in units of the cell vectors:
K 0.0117 0.3764 0.3292  6 S 3.06-3.40
K 0.3764 0.0117 0.8292  6 S 3.06-3.40
K 0.6236 0.9883 0.1708  6 S 3.06-3.40
K 0.9883 0.6236 0.6708  6 S 3.06-3.40
Tb 0.1843 0.6246 0.0529  5 S 2.60-2.87
Tb 0.3754 0.8157 0.4471  5 S 2.60-2.87
Tb 0.6246 0.1843 0.5529  5 S 2.60-2.87
Tb 0.8157 0.3754 0.9471  5 S 2.60-2.87
S 0.1050 0.8950 0.2500  2 Tb 2.60
S 0.1758 0.2809 0.0681  2 Tb 2.62-2.63
S 0.2809 0.1758 0.5681  2 Tb 2.62-2.63
S 0.4086 0.5455 0.8413  1 S 2.12
S 0.4545 0.5914 0.6587  1 S 2.12
S 0.5455 0.4086 0.3413  1 S 2.12
S 0.5914 0.4545 0.1587  1 S 2.12
S 0.7191 0.8242 0.4319  2 Tb 2.62-2.63
S 0.8242 0.7191 0.9319  2 Tb 2.62-2.63
S 0.8950 0.1050 0.7500  2 Tb 2.60

## Properties
DFT total energy: -89.7 eV per cell
Size of the total moment: 0.00 μB/f.u.


## Cs2ReAuBr6 (GGA-PBE)

Data for a relaxed Cs2ReAuBr6 crystal.

Cell: 7.8579 7.8579 7.8579 Å, 121.23 121.23 87.88°
Last column: nearest neighbours and their distance in Å.
Sites, in units of the cell vectors:
Cs 0.2500 0.7500 0.5000  12 Br 3.87-3.93
Cs 0.7500 0.2500 0.5000  12 Br 3.87-3.93
Re 0.0000 0.0000 0.0000  6 Br 2.55-2.58
Au 0.5000 0.5000 0.0000  6 Br 2.87-3.10
Br 0.2257 0.2257 0.0000  1 Re 2.55
Br 0.2369 0.2369 0.4738  1 Re 2.58, 1 Au 2.87
Br 0.2369 0.7631 0.0000  1 Re 2.58, 1 Au 2.87
Br 0.7631 0.2369 0.0000  1 Re 2.58, 1 Au 2.87
Br 0.7631 0.7631 0.5262  1 Re 2.58, 1 Au 2.87
Br 0.7743 0.7743 0.0000  1 Re 2.55

## Properties
DFT total energy: -34.6 eV per cell
Size of the total moment: 3.38 μB/f.u.


## CoTcAsAu (GGA-PBE)

Data for a relaxed CoTcAsAu crystal.

Cell: 4.3531 4.3531 4.3531 Å, 60.00 60.00 60.00°
Last column: nearest neighbours and their distance in Å.
Sites, in units of the cell vectors:
Co 0.0000 0.0000 0.0000  4 As 2.67, 4 Au 2.67
Tc 0.5000 0.5000 0.5000  4 As 2.67, 4 Au 2.67
As 0.7500 0.7500 0.7500  4 Co 2.67, 4 Tc 2.67
Au 0.2500 0.2500 0.2500  4 Tc 2.67, 4 Co 2.67

## Properties
DFT total energy: -24.2 eV per cell
Size of the total moment: 1.18 μB/f.u.


## NbNiSbPt (GGA-PBE)

Data for a relaxed NbNiSbPt crystal.

Cell: 4.5644 4.5644 4.5644 Å, 60.00 60.00 60.00°
Last column: nearest neighbours and their distance in Å.
Sites, in units of the cell vectors:
Nb 0.0000 0.0000 0.0000  4 Ni 2.80, 4 Pt 2.80
Ni 0.7500 0.7500 0.7500  4 Nb 2.80, 4 Sb 2.80
Sb 0.5000 0.5000 0.5000  4 Ni 2.80, 4 Pt 2.80
Pt 0.2500 0.2500 0.2500  4 Nb 2.80, 4 Sb 2.80

## Properties
DFT total energy: -26.0 eV per cell
Size of the total moment: 0.57 μB/f.u.


## ThZnSn (GGA-PBE)

Data for a relaxed ThZnSn crystal.

Cell: 4.8068 4.8068 4.8068 Å, 60.00 60.00 60.00°
Last column: nearest neighbours and their distance in Å.
Sites, in units of the cell vectors:
Th 0.0000 0.0000 0.0000  4 Zn 2.94
Zn 0.7500 0.7500 0.7500  4 Sn 2.94, 4 Th 2.94
Sn 0.5000 0.5000 0.5000  4 Zn 2.94

## Properties
DFT total energy: -13.4 eV per cell
Size of the total moment: 0.00 μB/f.u.


## SrZn2Ag (GGA-PBE)

Data for a relaxed SrZn2Ag crystal.

Cell: 4.5624 6.1643 6.5506 Å, 90.00 90.00 90.00°
Last column: nearest neighbours and their distance in Å.
Sites, in units of the cell vectors:
Sr 0.0000 0.1131 0.0000  8 Zn 3.34-3.47, 4 Ag 3.36-3.41
Sr 0.5000 0.8869 0.5000  8 Zn 3.34-3.47, 4 Ag 3.36-3.41
Zn 0.0000 0.2956 0.5006  3 Ag 2.73, 3 Zn 2.73-2.75
Zn 0.0000 0.6218 0.2151  3 Zn 2.73-2.75, 3 Ag 2.76-2.81
Zn 0.5000 0.3782 0.7151  3 Zn 2.73-2.75, 3 Ag 2.76-2.81
Zn 0.5000 0.7044 0.0006  3 Ag 2.73, 3 Zn 2.73-2.75
Ag 0.0000 0.6180 0.7857  6 Zn 2.73-2.81
Ag 0.5000 0.3820 0.2857  6 Zn 2.73-2.81

## Properties
DFT total energy: -15.8 eV per cell


## Li8Nb4O11 (GGA-PBE)

Data for a relaxed Li8Nb4O11 crystal.

Cell: 5.0801 5.2256 9.0105 Å, 74.76 89.77 81.45°
Last column: nearest neighbours and their distance in Å.
Sites, in units of the cell vectors:
Li 0.0000 0.0000 0.0000  5 O 2.01-2.21
Li 0.0051 0.9814 0.3169  6 O 2.06-2.20
Li 0.0245 0.9802 0.6341  5 O 2.00-2.23
Li 0.2574 0.4802 0.5649  6 O 2.12-2.20
Li 0.4680 0.0005 0.8109  4 O 1.96-2.17
Li 0.5032 0.9819 0.4845  6 O 2.03-2.23
Li 0.5165 0.9845 0.1430  6 O 2.02-2.25
Li 0.7515 0.4594 0.0776  4 O 2.02-2.16
Nb 0.2311 0.4835 0.2394  6 O 1.99-2.21
Nb 0.2599 0.4909 0.8872  5 O 1.98-2.20
Nb 0.7289 0.4687 0.7447  4 O 2.00-2.17
Nb 0.7852 0.4834 0.3935  6 O 1.98-2.18
O 0.1265 0.2404 0.7787  2 Li 1.96-2.17, 2 Nb 2.02-2.17
O 0.1415 0.2179 0.4414  4 Li 2.00-2.12, 2 Nb 2.07-2.08
O 0.1407 0.2506 0.1089  2 Nb 2.00-2.20, 4 Li 2.04-2.20
O 0.3498 0.7230 0.0157  2 Nb 1.98-2.21, 2 Li 2.10-2.17
O 0.3858 0.7147 0.3480  2 Nb 1.99-2.18, 3 Li 2.17-2.18
O 0.3930 0.7499 0.6884  4 Li 2.00-2.20, 2 Nb 2.05-2.12
O 0.6295 0.2506 0.2805  4 Li 2.02-2.22, 2 Nb 2.02-2.18
O 0.6351 0.2107 0.9399  4 Li 2.01-2.16, 2 Nb 2.02-2.19
O 0.6549 0.2441 0.6060  2 Nb 2.00-2.16, 3 Li 2.13-2.19
O 0.8730 0.7177 0.5203  1 Nb 1.98, 4 Li 2.13-2.15
O 0.8728 0.7428 0.1843  4 Li 2.01-2.13, 2 Nb 2.08-2.10

## Properties
DFT total energy: -159.3 eV per cell
Size of the total moment: 0.01 μB/f.u.


## LiAgO2 (GGA-PBE)

Data for a relaxed LiAgO2 crystal.

Cell: 3.1018 3.1018 9.8069 Å, 90.00 90.00 90.00°
Last column: nearest neighbours and their distance in Å.
Sites, in units of the cell vectors:
Li 0.0000 0.0000 0.2500  4 O 1.92
Li 0.0000 0.0000 0.7500  4 O 1.92
Ag 0.5000 0.5000 0.0000  4 O 2.04
Ag 0.5000 0.5000 0.5000  4 O 2.04
O 0.0000 0.5000 0.1344  2 Li 1.92, 2 Ag 2.04
O 0.0000 0.5000 0.8656  2 Li 1.92, 2 Ag 2.04
O 0.5000 0.0000 0.3656  2 Li 1.92, 2 Ag 2.04
O 0.5000 0.0000 0.6344  2 Li 1.92, 2 Ag 2.04

## Properties
DFT total energy: -35.6 eV per cell


## MgNbNiBi (GGA-PBE)

Data for a relaxed MgNbNiBi crystal.

Cell: 4.7697 4.7697 4.7697 Å, 60.00 60.00 60.00°
Last column: nearest neighbours and their distance in Å.
Sites, in units of the cell vectors:
Mg 0.0000 0.0000 0.0000  4 Nb 2.92, 4 Bi 2.92
Nb 0.7500 0.7500 0.7500  4 Mg 2.92, 4 Ni 2.92
Ni 0.5000 0.5000 0.5000  4 Nb 2.92, 4 Bi 2.92
Bi 0.2500 0.2500 0.2500  4 Mg 2.92, 4 Ni 2.92

## Properties
DFT total energy: -19.3 eV per cell
Size of the total moment: 2.09 μB/f.u.


## BaHgNO (GGA-PBE)

Data for a relaxed BaHgNO crystal.

Cell: 5.3462 5.3462 5.1450 Å, 90.00 90.00 90.00°
Last column: nearest neighbours and their distance in Å.
Sites, in units of the cell vectors:
Ba 0.2500 0.7500 0.0000  2 O 2.57, 4 N 2.67
Ba 0.7500 0.2500 0.0000  2 O 2.57, 4 N 2.67
Hg 0.2500 0.2500 0.4882  2 N 2.43-2.72, 4 O 2.67
Hg 0.7500 0.7500 0.5118  2 N 2.43-2.72, 4 O 2.67
N 0.2500 0.2500 0.0160  2 Hg 2.43-2.72, 4 Ba 2.67
N 0.7500 0.7500 0.9840  2 Hg 2.43-2.72, 4 Ba 2.67
O 0.2500 0.7500 0.5000  2 Ba 2.57, 4 Hg 2.67
O 0.7500 0.2500 0.5000  2 Ba 2.57, 4 Hg 2.67

## Properties
DFT total energy: -31.8 eV per cell


## TaAlCoMo (GGA-PBE)

Data for a relaxed TaAlCoMo crystal.

Cell: 4.3525 4.3525 4.3525 Å, 60.00 60.00 60.00°
Last column: nearest neighbours and their distance in Å.
Sites, in units of the cell vectors:
Ta 0.0000 0.0000 0.0000  4 Mo 2.67, 4 Co 2.67
Al 0.5000 0.5000 0.5000  4 Co 2.67, 4 Mo 2.67
Co 0.7500 0.7500 0.7500  4 Ta 2.67, 4 Al 2.67
Mo 0.2500 0.2500 0.2500  4 Al 2.67, 4 Ta 2.67

## Properties
DFT total energy: -34.1 eV per cell
Size of the total moment: 0.65 μB/f.u.


## CuAg4 (GGA-PBE)

Data for a relaxed CuAg4 crystal.

Cell: 2.9028 2.9028 19.9116 Å, 90.00 90.00 90.00°
Last column: nearest neighbours and their distance in Å.
Sites, in units of the cell vectors:
Cu 0.0000 0.0000 0.0906  8 Ag 2.73, 4 Cu 2.90
Cu 0.0000 0.0000 0.9094  8 Ag 2.73, 4 Cu 2.90
Ag 0.0000 0.0000 0.2881  12 Ag 2.90-2.96
Ag 0.0000 0.0000 0.5000  12 Ag 2.90-2.94
Ag 0.0000 0.0000 0.7119  12 Ag 2.90-2.96
Ag 0.5000 0.5000 0.0000  8 Cu 2.73, 4 Ag 2.90
Ag 0.5000 0.5000 0.1809  4 Cu 2.73, 8 Ag 2.90-2.96
Ag 0.5000 0.5000 0.3944  12 Ag 2.90-2.95
Ag 0.5000 0.5000 0.6056  12 Ag 2.90-2.95
Ag 0.5000 0.5000 0.8191  4 Cu 2.73, 8 Ag 2.90-2.96

## Properties
E_form: 0.040 eV per atom


## Tm5Co2Sb (GGA-PBE)

Data for a relaxed Tm5Co2Sb crystal.

Cell: 8.4539 8.4539 8.4539 Å, 127.64 127.64 77.22°
Last column: nearest neighbours and their distance in Å.
Sites, in units of the cell vectors:
Tm 0.0000 0.0000 0.0000  4 Co 2.91
Tm 0.0254 0.5254 0.8158  3 Co 2.80
Tm 0.2096 0.0254 0.5000  3 Co 2.80
Tm 0.2904 0.7904 0.8158  3 Co 2.80
Tm 0.4746 0.2904 0.5000  3 Co 2.80
Tm 0.5000 0.5000 0.0000  4 Co 2.91
Tm 0.5254 0.7096 0.5000  3 Co 2.80
Tm 0.7096 0.2096 0.1842  3 Co 2.80
Tm 0.7904 0.9746 0.5000  3 Co 2.80
Tm 0.9746 0.4746 0.1842  3 Co 2.80
Co 0.1346 0.3654 0.5000  8 Tm 2.80-2.91, 1 Co 2.84
Co 0.3654 0.8654 0.2309  8 Tm 2.80-2.91, 1 Co 2.84
Co 0.6346 0.1346 0.7691  8 Tm 2.80-2.91, 1 Co 2.84
Co 0.8654 0.6346 0.5000  8 Tm 2.80-2.91, 1 Co 2.84
Sb 0.2500 0.2500 0.0000  10 Tm 3.21-3.30
Sb 0.7500 0.7500 0.0000  10 Tm 3.21-3.30

## Properties
DFT total energy: -88.6 eV per cell
Size of the total moment: 0.00 μB/f.u.


## Y4Ta2Zn3N3 (GGA-PBE)

Data for a relaxed Y4Ta2Zn3N3 crystal.

Cell: 5.8592 5.8592 14.3145 Å, 102.36 102.36 60.30°
Last column: nearest neighbours and their distance in Å.
Sites, in units of the cell vectors:
Y 0.0447 0.1934 0.1039  3 N 2.45-2.46
Y 0.1193 0.2997 0.3962  3 N 2.45-2.47
Y 0.1934 0.0447 0.6039  3 N 2.45-2.46
Y 0.2997 0.1193 0.8962  3 N 2.45-2.47
Y 0.7003 0.8807 0.1038  3 N 2.45-2.47
Y 0.8066 0.9553 0.3961  3 N 2.45-2.46
Y 0.8807 0.7003 0.6038  3 N 2.45-2.47
Y 0.9553 0.8066 0.8961  3 N 2.45-2.46
Ta 0.3478 0.5247 0.0706  3 N 2.13-2.15
Ta 0.4753 0.6522 0.4294  3 N 2.13-2.15
Ta 0.5247 0.3478 0.5706  3 N 2.13-2.15
Ta 0.6522 0.4753 0.9294  3 N 2.13-2.15
Zn 0.1684 0.8316 0.2500  2 Zn 2.53
Zn 0.3354 0.4165 0.7527  2 Zn 2.53
Zn 0.4165 0.3354 0.2527  2 Zn 2.53
Zn 0.5835 0.6646 0.7473  2 Zn 2.53
Zn 0.6646 0.5835 0.2473  2 Zn 2.53
Zn 0.8316 0.1684 0.7500  2 Zn 2.53
N 0.0000 0.5000 0.0000  2 Ta 2.13
N 0.1866 0.6574 0.5000  2 Ta 2.13-2.15
N 0.3426 0.8134 0.0000  2 Ta 2.13-2.15
N 0.5000 0.0000 0.5000  2 Ta 2.13
N 0.6574 0.1866 0.0000  2 Ta 2.13-2.15
N 0.8134 0.3426 0.5000  2 Ta 2.13-2.15

## Properties
DFT total energy: -177.1 eV per cell
Size of the total moment: 0.00 μB/f.u.


## Gd2GaSi (GGA-PBE)

Data for a relaxed Gd2GaSi crystal.

Cell: 3.9839 5.8366 5.8366 Å, 43.88 90.00 90.00°
Last column: nearest neighbours and their distance in Å.
Sites, in units of the cell vectors:
Gd 0.0000 0.0000 0.0000  4 Ga 3.04, 3 Si 3.08-3.19
Gd 0.5000 0.2803 0.2803  4 Si 3.04, 3 Ga 3.09-3.19
Ga 0.5000 0.5654 0.5654  2 Si 2.57
Si 0.0000 0.7155 0.7155  2 Ga 2.57

## Properties
DFT total energy: -20.7 eV per cell
Size of the total moment: 0.07 μB/f.u.


## PrZrMo (GGA-PBE)

Data for a relaxed PrZrMo crystal.

Cell: 4.7682 4.7682 4.7682 Å, 60.00 60.00 60.00°
Last column: nearest neighbours and their distance in Å.
Sites, in units of the cell vectors:
Pr 0.0000 0.0000 0.0000  4 Zr 2.92
Zr 0.7500 0.7500 0.7500  4 Mo 2.92, 4 Pr 2.92
Mo 0.5000 0.5000 0.5000  4 Zr 2.92

## Properties
E_form: 0.999 eV per atom
Size of the total moment: 0.02 μB/f.u.